# 1
The following is a DFT calculation (PBE) of AlGeW after structural relaxation.

a b c (Å): 8.4421 4.6897 4.6573
angles (deg): 90.00 90.00 90.00
Sites, in units of the cell vectors:
Ge  0.8342  0.0000  0.5000
Ge  0.3342  0.5000  0.5000
Ge  0.1658  0.0000  0.5000
Ge  0.6658  0.5000  0.5000
Al  0.3359  0.0000  0.0000
Al  0.8359  0.5000  0.0000
Al  0.1641  0.5000  0.0000
Al  0.6641  0.0000  0.0000
W  0.0000  0.0000  0.0000
W  0.5000  0.0000  0.5000
W  0.5000  0.5000  0.0000
W  0.0000  0.5000  0.5000

Output
D(E_F) = 0.872 states/eV/f.u.
SG = No. 65
raw total energy = -0.5235 Ry per atom
total moment = 0.000 μB per formula unit
offset from the most stable computed form = 65 meV/atom

# 2
The following is a DFT calculation (PBE) of Mo3PtC after structural relaxation.

a b c (Å): 2.9396 5.5901 9.1888
angles (deg): 73.68 90.00 74.80
Sites, in units of the cell vectors:
Mo  0.5433  0.4801  0.1428
Mo  0.6905  0.1865  0.6361
Mo  0.1449  0.2806  0.9163
Mo  0.9977  0.5742  0.4230
Mo  0.4311  0.7096  0.6742
Mo  0.2571  0.0512  0.3849
Pt  0.8070  0.9538  0.1543
Pt  0.8812  0.8069  0.9048
C  0.6228  0.3215  0.3872
C  0.0654  0.4392  0.6719

Output
D(E_F) = 2.648 states/eV/f.u.
SG = No. 2
raw total energy = -0.7105 Ry per atom
total moment = 0.000 μB per formula unit
offset from the most stable computed form = 0 meV/atom

Formation energy from the elements, record by record: -18.4; -114.8 meV/atom